Run w
# SrHoGa, optimized geometry, DFT PBE
data_SrHoGa
_cell_length_a 3.731
_cell_length_b 3.731
_cell_length_c 13.410
_cell_angle_alpha 90.00
_cell_angle_beta 90.00
_cell_angle_gamma 90.00
_symmetry_space_group_name_H-M 'I 4 m m'
_symmetry_Int_Tables_number 107
_symmetry_space_group_name_Hall 'I 4 -2'
loop_
_atom_site_label
_atom_site_type_symbol
_atom_site_fract_x
_atom_site_fract_y
_atom_site_fract_z
Sr1 Sr 0.000 0.000 0.000
Ho1 Ho 0.000 0.000 0.270
Ga1 Ga 0.000 0.000 0.662
# - DOS at the Fermi energy: 1.10 states/eV/atom
# - Spin magnetization: 0.00 μB per atom

***

Run x
# SrHoGa, optimized geometry, DFT PBE
data_SrHoGa
_cell_length_a 13.567
_cell_length_b 5.242
_cell_length_c 5.233
_cell_angle_alpha 90.00
_cell_angle_beta 90.00
_cell_angle_gamma 90.00
_symmetry_space_group_name_H-M 'A m m 2'
_symmetry_Int_Tables_number 38
loop_
_symmetry_equiv_pos_as_xyz
'x,y,z'
'-x,-y,z'
'-x,y,z'
'x,-y,z'
'x,y+1/2,z+1/2'
'-x,-y+1/2,z+1/2'
'-x,y+1/2,z+1/2'
'x,-y+1/2,z+1/2'
loop_
_atom_site_label
_atom_site_type_symbol
_atom_site_fract_x
_atom_site_fract_y
_atom_site_fract_z
Sr1 Sr 0.151 0.000 0.000
Ho1 Ho 0.379 0.000 0.502
Ga1 Ga 0.000 0.000 0.500
Ga2 Ga 0.500 0.000 0.002
# - DOS at the Fermi energy: 0.89 states/eV/atom
# - Spin magnetization: 0.00 μB per atom

***

Which of them is the least stable? Correct choice: run x.

***

Run w
# Tb3HoGa4, optimized geometry, DFT PBE
data_Tb3HoGa4
_cell_length_a 3.607
_cell_length_b 6.738
_cell_length_c 16.620
_cell_angle_alpha 90.00
_cell_angle_beta 90.00
_cell_angle_gamma 90.00
_symmetry_space_group_name_H-M 'I m m m'
_symmetry_Int_Tables_number 71
_symmetry_space_group_name_Hall '-I 2 2'
loop_
_atom_site_label
_atom_site_type_symbol
_atom_site_fract_x
_atom_site_fract_y
_atom_site_fract_z
Tb1 Tb 0.000 0.000 0.000
Tb2 Tb 0.000 0.500 0.202
Ho1 Ho 0.000 0.000 0.500
Ga1 Ga 0.000 0.307 0.371
# - DOS at the Fermi energy: 0.59 states/eV/atom
# - Spin magnetization: 0.00 μB per atom

***

Run x
# Tb3HoGa4, optimized geometry, DFT PBE
data_Tb3HoGa4
_cell_length_a 5.0540
_cell_length_b 5.0540
_cell_length_c 24.8325
_cell_angle_alpha 90.00
_cell_angle_beta 90.00
_cell_angle_gamma 120.00
_symmetry_space_group_name_H-M 'R -3 m'
_symmetry_Int_Tables_number 166
_symmetry_space_group_name_Hall '-R 3 2"'
loop_
_atom_site_label
_atom_site_type_symbol
_atom_site_fract_x
_atom_site_fract_y
_atom_site_fract_z
Tb1 Tb 0.0000 0.0000 0.0000
Tb2 Tb 0.0000 0.0000 0.2497
Ho1 Ho 0.0000 0.0000 0.5000
Ga1 Ga 0.0000 0.0000 0.1254
Ga2 Ga 0.0000 0.0000 0.3753
# - DOS at the Fermi energy: 0.35 states/eV/atom
# - Spin magnetization: 0.00 μB per atom

***

Which of them is the least stable? Correct choice: run w.